[1]
An optimized crystal structure of NaAl6Pd, computed with GGA-PBE.

Values from the calculation:
Formation energy = -0.21 eV per atom
Fermi-level density of states = 1.90 states/eV/cell

Cell and atoms, written as CIF:
```
data_NaAl6Pd
_space_group_name_H-M_alt 'P 4/m m m'
_space_group_IT_number 123
_space_group_name_Hall '-P 4 2'
_cell_length_a 4.1355
_cell_length_b 4.1355
_cell_length_c 9.1503
_cell_angle_alpha 90.00
_cell_angle_beta 90.00
_cell_angle_gamma 90.00
loop_
_atom_site_label
_atom_site_type_symbol
_atom_site_fract_x
_atom_site_fract_y
_atom_site_fract_z
_atom_site_occupancy
Na1 Na 0.0000 0.0000 0.0000 1
Al1 Al 0.0000 0.5000 0.3343 1
Al2 Al 0.5000 0.5000 0.1445 1
Pd1 Pd 0.0000 0.0000 0.5000 1
```



[2]
An optimized crystal structure of SmTlGa, computed with GGA-PBE.

Values from the calculation:
Formation energy = -0.39 eV per atom
Fermi-level density of states = 1.11 states/eV/cell
Relative energy among the computed polymorphs = 0 meV per atom

Cell and atoms, written as CIF:
```
data_SmTlGa
_space_group_name_H-M_alt 'P 3 m 1'
_space_group_IT_number 156
_space_group_name_Hall 'P 3 -2"'
_cell_length_a 4.6497
_cell_length_b 4.6497
_cell_length_c 4.0686
_cell_angle_alpha 90.00
_cell_angle_beta 90.00
_cell_angle_gamma 120.00
loop_
_atom_site_label
_atom_site_type_symbol
_atom_site_fract_x
_atom_site_fract_y
_atom_site_fract_z
_atom_site_occupancy
Sm1 Sm 0.0000 0.0000 0.0000 1
Tl1 Tl 0.6667 0.3333 0.4286 1
Ga1 Ga 0.3333 0.6667 0.6297 1
```



no.,E (eV per atom)
1,-3.83
2,-3.76